Computed, not measured: an optimized crystal structure of CsAgBr2 at the PBEsol level of DFT.

Unit cell a=7.062 b=7.062 c=7.062 alpha=110.44 beta=108.99 gamma=108.99
Element x y z (fractional)
Ag  0.000  0.500  0.500
Ag  0.500  0.250  0.750
Br  0.585  0.210  0.125
Br  0.415  0.540  0.625
Br  0.085  0.875  0.460
Br  0.915  0.375  0.790
Cs  0.500  0.750  0.250
Cs  0.000  0.000  0.000

Offset from the most stable computed form (eV/f.u.): 0.12
Electronic total energy (eV per cell): -24.16
Formation energy without anion corrections (eV per atom): -1.02
Theoretical density (g/cm³): 4.91
Symmetry: No. 122